{
  "formula": "FeTeOs2",
  "functional": "PBE",
  "state": "relaxed",
  "lattice_angstrom": [[3.8046, 0.0000, 0.0000], [0.0000, 2.8672, -0.0179], [0.0000, 1.4768, 6.0430]],
  "species": ["Te", "Fe", "Os", "Os"],
  "frac_coords": [[0.0000, 0.2939, 0.5377], [0.5000, 0.6738, 0.7788], [0.5000, 0.4692, 0.1855], [0.0000, 0.0631, 0.9980]],
  "e_form_raw_ev_per_atom": 0.59,
  "m_tot_mub_per_atom": 0.560
}

{
  "formula": "TiSeCl",
  "functional": "PBE",
  "state": "relaxed",
  "lattice_angstrom": [[-1.9453, 0.5260, -2.7596], [0.7559, -5.8831, -3.7699], [-6.9352, -3.5792, 2.0910]],
  "species": ["Ti", "Ti", "Cl", "Se", "Cl", "Se"],
  "frac_coords": [[0.7019, 0.9348, 0.6613], [0.2981, 0.0652, 0.3387], [0.2069, 0.7530, 0.8333], [0.9125, 0.7880, 0.3871], [0.7931, 0.2470, 0.1667], [0.0875, 0.2120, 0.6129]],
  "e_form_raw_ev_per_atom": -1.29,
  "m_tot_mub_per_atom": 0.319
}

{
  "formula": "Li2ScAgN",
  "functional": "PBE",
  "state": "relaxed",
  "lattice_angstrom": [[4.2044, 0.0000, 0.0000], [0.0000, 4.2044, 0.0000], [0.0000, 0.0000, 4.2437]],
  "species": ["Sc", "Ag", "Li", "N", "Li"],
  "frac_coords": [[0.0000, 0.0000, 0.5000], [0.5000, 0.5000, 0.5000], [0.0000, 0.5000, 0.0000], [0.0000, 0.0000, 0.0000], [0.5000, 0.0000, 0.0000]],
  "e_form_raw_ev_per_atom": -0.54,
  "m_tot_mub_per_atom": 0.000
}

{
  "formula": "EuTlGaHg",
  "functional": "PBE",
  "state": "relaxed",
  "lattice_angstrom": [[5.2785, 0.0000, 0.0000], [2.6392, 4.5713, 0.0000], [2.6392, 1.5238, 4.3098]],
  "species": ["Ga", "Hg", "Eu", "Tl"],
  "frac_coords": [[0.5000, 0.5000, 0.5000], [0.0000, 0.0000, 0.0000], [0.7500, 0.7500, 0.7500], [0.2500, 0.2500, 0.2500]],
  "e_form_mev_per_atom": -301,
  "m_tot_mub_per_atom": 1.788
}

{
  "formula": "Mg2CuHPd",
  "functional": "PBE",
  "state": "relaxed",
  "lattice_angstrom": [[4.4615, 0.0000, 0.0000], [0.0000, 4.4615, 0.0000], [0.0000, 0.0000, 3.4555]],
  "species": ["Mg", "H", "Pd", "Mg", "Cu"],
  "frac_coords": [[0.0000, 0.5000, 0.0000], [0.0000, 0.0000, 0.0000], [0.0000, 0.0000, 0.5000], [0.5000, 0.0000, 0.0000], [0.5000, 0.5000, 0.5000]],
  "de_polymorph_mev_per_atom": 48,
  "m_tot_mub_per_atom": 0.000
}

{
  "formula": "La2YBi",
  "functional": "PBE",
  "state": "relaxed",
  "lattice_angstrom": [[4.2025, 0.0000, 0.0000], [2.1012, 3.6395, 0.0000], [2.1012, 1.2132, 9.9347]],
  "species": ["La", "Bi", "La", "Y"],
  "frac_coords": [[0.2622, 0.2622, 0.2134], [0.6668, 0.6668, 0.9996], [0.0714, 0.0714, 0.7858], [0.4996, 0.4996, 0.5012]],
  "e_form_mev_per_atom": -233,
  "m_tot_mub_per_atom": 0.286
}

{
  "formula": "TaCl",
  "functional": "PBE",
  "state": "relaxed",
  "lattice_angstrom": [[3.0542, 0.0000, 0.0000], [-1.5271, 2.6450, 0.0000], [0.0000, 0.0000, 8.7720]],
  "species": ["Ta", "Cl", "Ta", "Cl"],
  "frac_coords": [[0.3333, 0.6667, 0.6864], [0.6667, 0.3333, 0.8956], [0.6667, 0.3333, 0.1864], [0.3333, 0.6667, 0.3956]],
  "e_form_raw_ev_per_atom": -0.06,
  "m_tot_mub_per_atom": 0.000
}

{
  "formula": "SnNO2F",
  "functional": "PBE",
  "state": "relaxed",
  "lattice_angstrom": [[-3.6682, 0.5508, 1.5788], [-1.2656, -3.4022, -1.7536], [1.1393, -2.1802, 3.4077]],
  "species": ["Sn", "F", "N", "O", "O"],
  "frac_coords": [[0.0000, 0.0000, 0.0000], [0.0000, 0.0000, 0.5000], [0.5000, 0.5000, 0.5000], [0.0000, 0.5000, 0.0000], [0.5000, 0.0000, 0.0000]],
  "e_form_raw_ev_per_atom": 0.07,
  "m_tot_mub_per_atom": 0.400
}

no.,DOS at the Fermi energy (states/eV/f.u.)
1,4.733
2,1.102
3,2.996
4,4.693
5,2.177
6,4.882
7,0.619
8,4.804